Record 1
# PBE Ho2Be2AlPd5, relaxed
data_Ho2Be2AlPd5
_cell_length_a 9.617
_cell_length_b 9.617
_cell_length_c 3.411
_cell_angle_alpha 90.00
_cell_angle_beta 90.00
_cell_angle_gamma 90.00
_symmetry_space_group_name_H-M 'P 4/m b m'
_symmetry_Int_Tables_number 127
_symmetry_space_group_name_Hall '-P 4 2ab'
loop_
_atom_site_label
_atom_site_fract_x
_atom_site_fract_y
_atom_site_fract_z
Ho1 0.177 0.323 0.000
Be1 0.120 0.620 0.000
Al1 0.000 0.000 0.000
Pd1 0.000 0.500 0.500
Pd2 0.067 0.788 0.500
# final energy: -5.44 eV per atom
# ΔH_f (0 K): -8.044 eV/f.u.

Record 2
# PBE PmHoBeAl, relaxed
data_PmHoBeAl
_cell_length_a 7.131
_cell_length_b 7.131
_cell_length_c 7.131
_cell_angle_alpha 90.00
_cell_angle_beta 90.00
_cell_angle_gamma 90.00
_symmetry_space_group_name_H-M 'F -4 3 m'
_symmetry_Int_Tables_number 216
_symmetry_space_group_name_Hall 'F -4 2 3'
loop_
_atom_site_label
_atom_site_fract_x
_atom_site_fract_y
_atom_site_fract_z
Pm1 0.000 0.000 0.000
Ho1 0.000 0.000 0.500
Be1 0.250 0.250 0.250
Al1 0.250 0.250 0.750
# final energy: -4.30 eV per atom
# ΔH_f (0 K): -0.384 eV/f.u.

Record 3
# PBE PrHoBeAl, relaxed
data_PrHoBeAl
_cell_length_a 7.187
_cell_length_b 7.187
_cell_length_c 7.187
_cell_angle_alpha 90.00
_cell_angle_beta 90.00
_cell_angle_gamma 90.00
_symmetry_space_group_name_H-M 'F -4 3 m'
_symmetry_Int_Tables_number 216
_symmetry_space_group_name_Hall 'F -4 2 3'
loop_
_atom_site_label
_atom_site_fract_x
_atom_site_fract_y
_atom_site_fract_z
Pr1 0.000 0.000 0.000
Ho1 0.000 0.000 0.500
Be1 0.250 0.250 0.250
Al1 0.250 0.250 0.750
# final energy: -4.28 eV per atom
# ΔH_f (0 K): -0.278 eV/f.u.

Record 4
# PBE Ho2Be4AlPt3, relaxed
data_Ho2Be4AlPt3
_cell_length_a 3.862
_cell_length_b 3.862
_cell_length_c 10.279
_cell_angle_alpha 90.00
_cell_angle_beta 90.00
_cell_angle_gamma 90.00
_symmetry_space_group_name_H-M 'P -4 m 2'
_symmetry_Int_Tables_number 115
loop_
_symmetry_equiv_pos_as_xyz
'x,y,z'
'y,-x,-z'
'-x,-y,z'
'-y,x,-z'
'-x,y,z'
'-y,-x,-z'
'x,-y,z'
'y,x,-z'
loop_
_atom_site_label
_atom_site_fract_x
_atom_site_fract_y
_atom_site_fract_z
Ho1 0.000 0.500 0.246
Be1 0.000 0.000 0.000
Be2 0.000 0.500 0.643
Be3 0.500 0.500 0.000
Al1 0.000 0.000 0.500
Pt1 0.000 0.500 0.874
Pt2 0.500 0.500 0.500
# final energy: -5.37 eV per atom
# ΔH_f (0 K): -7.770 eV/f.u.

Record 5
# PBE Ho2BeAl4Pt3, relaxed
data_Ho2BeAl4Pt3
_cell_length_a 4.106
_cell_length_b 4.106
_cell_length_c 10.686
_cell_angle_alpha 90.00
_cell_angle_beta 90.00
_cell_angle_gamma 90.00
_symmetry_space_group_name_H-M 'P -4 m 2'
_symmetry_Int_Tables_number 115
loop_
_symmetry_equiv_pos_as_xyz
'x,y,z'
'y,-x,-z'
'-x,-y,z'
'-y,x,-z'
'-x,y,z'
'-y,-x,-z'
'x,-y,z'
'y,x,-z'
loop_
_atom_site_label
_atom_site_fract_x
_atom_site_fract_y
_atom_site_fract_z
Ho1 0.000 0.500 0.244
Be1 0.500 0.500 0.000
Al1 0.000 0.000 0.500
Al2 0.000 0.500 0.873
Al3 0.500 0.500 0.500
Pt1 0.000 0.000 0.000
Pt2 0.000 0.500 0.640
# final energy: -5.52 eV per atom
# ΔH_f (0 K): -9.220 eV/f.u.

Record 6
# PBE HoBeAl2Pt4, relaxed
data_HoBeAl2Pt4
_cell_length_a 4.2362
_cell_length_b 4.2362
_cell_length_c 25.0149
_cell_angle_alpha 90.00
_cell_angle_beta 90.00
_cell_angle_gamma 120.00
_symmetry_space_group_name_H-M 'R -3 m'
_symmetry_Int_Tables_number 166
_symmetry_space_group_name_Hall '-R 3 2"'
loop_
_atom_site_label
_atom_site_fract_x
_atom_site_fract_y
_atom_site_fract_z
Ho1 0.0000 0.0000 0.0000
Be1 0.0000 0.0000 0.5000
Al1 0.0000 0.0000 0.2412
Pt1 0.0000 0.0000 0.1362
Pt2 0.0000 0.0000 0.4052
# final energy: -6.03 eV per atom
# ΔH_f (0 K): -8.282 eV/f.u.